ScIn3Br | GGA-PBE | optimized geometry

Values from the calculation:
The total energy is -14.76 eV for the cell shown.

Cell: 5.805 5.805 5.805 Å, 90.00 90.00 90.00°
Each line ends with the local moment (μB).
Fractional coordinates of all 5 atoms:
Br1 0.500 0.500 0.500  0.08
In1 0.500 0.000 0.000  0.14
In2 0.000 0.000 0.500  0.17
In3 0.000 0.500 0.000  0.17
Sc1 0.000 0.000 0.000  0.78

ScIn2Br | GGA-PBE | optimized geometry

Values from the calculation:
The total energy is -14.33 eV for the cell shown.

Cell: 3.547 3.547 8.136 Å, 90.00 90.00 90.00°
Each line ends with the local moment (μB).
Fractional coordinates of all 4 atoms:
In1 0.000 0.000 0.026  0.00
In2 0.000 0.000 0.474  0.00
Sc1 0.500 0.500 0.250  0.11
Br1 0.500 0.500 0.750  0.00

ScInBr3 | GGA-PBE | optimized geometry

Values from the calculation:
The total energy is -15.05 eV for the cell shown.

Cell: 5.670 5.670 5.670 Å, 90.00 90.00 90.00°
Each line ends with the local moment (μB).
Fractional coordinates of all 5 atoms:
Br1 0.000 0.000 0.500  0.00
Br2 0.500 0.000 0.000  0.00
Br3 0.000 0.500 0.000  0.00
In1 0.000 0.000 0.000  0.01
Sc1 0.500 0.500 0.500  1.19